LaCuPN: optimized geometry, PBE.

Summary:
Calculated density in g/cm3: 6.1
Total energy in eV per atom: -6.45
Uncorrected formation energy in kJ/mol of atoms: -73

Lattice parameters (Å, degrees): 3.932 3.814 4.836 90.00 111.29 90.00
Space group Pm (No. 6)
Unique sites:
La 0.000 0.000 0.000 x1
Cu 0.745 0.500 0.418 x1
P 0.338 0.500 0.636 x1
N 0.431 0.500 0.010 x1

=====

La2CuPN: optimized geometry, PBE.

Summary:
Calculated density in g/cm3: 6.4
Total energy in eV per atom: -6.63
Uncorrected formation energy in kJ/mol of atoms: -105

Lattice parameters (Å, degrees): 6.546 3.910 8.251 90.00 107.97 90.00
Space group P2_1/m (No. 11)
Unique sites:
La 0.196 0.250 0.387 x2
La 0.217 0.250 0.963 x2
Cu 0.475 0.750 0.254 x2
P 0.320 0.750 0.699 x2
N 0.160 0.750 0.172 x2

=====

LaPa2CuN5: optimized geometry, PBE.

Summary:
Calculated density in g/cm3: 10.0
Total energy in eV per atom: -8.89
Uncorrected formation energy in kJ/mol of atoms: -112

Lattice parameters (Å, degrees): 6.580 6.580 11.259 90.00 90.00 90.00
Space group I4/mcm (No. 140)
Unique sites:
La 0.000 0.000 0.250 x4
Pa 0.169 0.331 0.000 x8
Cu 0.000 0.500 0.250 x4
N 0.000 0.000 0.000 x4
N 0.154 0.346 0.372 x16

=====

LaPa2CuN4: optimized geometry, PBE.

Summary:
Calculated density in g/cm3: 10.0
Total energy in eV per atom: -8.93
Uncorrected formation energy in kJ/mol of atoms: -122

Lattice parameters (Å, degrees): 3.576 11.620 11.518 90.00 90.00 90.00
Space group Cmcm (No. 63)
Unique sites:
La 0.000 0.097 0.250 x4
Pa 0.000 0.370 0.056 x8
Cu 0.000 0.172 0.750 x4
N 0.000 0.000 0.000 x4
N 0.000 0.265 0.607 x8
N 0.000 0.435 0.250 x4

=====

| no. | size of the total moment (Bohr magnetons per cell) |
| --- | --- |
| 1 | 0.0 |
| 2 | 0.0 |
| 3 | 0.0 |
| 4 | 0.0 |